(1)
4
Lattice="0.000 4.475 4.475 4.475 0.000 4.475 4.475 4.475 0.000" Properties=species:S:1:pos:R:3 comment="KBa2Mn, relaxed, DFT GGA-PBE" sg="F-43m (216)" de_polymorph_ev_per_atom=0.265 crystal_system=cubic mass_density_g_cm3=3.415 magmom_total_mub_per_cell=4.01 ef_ev_per_atom=0.6171 pbc="T T T"
K 0.000 0.000 0.000
Ba 4.475 4.475 4.475
Ba 6.713 6.713 6.713
Mn 2.238 2.238 2.238

(2)
4
Lattice="4.606 -1.540 0.000 4.606 1.540 0.000 -1.866 0.000 3.722" Properties=species:S:1:pos:R:3 comment="BeZnTc2, relaxed, DFT GGA-PBE" sg="C2/m (12)" de_polymorph_ev_per_atom=0.176 crystal_system=monoclinic mass_density_g_cm3=8.504 magmom_total_mub_per_cell=0.00 ef_ev_per_atom=0.1378 pbc="T T T"
Be 0.000 0.000 0.000
Zn 3.673 0.000 1.861
Tc 0.999 0.000 2.840
Tc 6.347 0.000 0.883

(3)
6
Lattice="1.455 0.840 10.358 -1.455 0.840 10.358 0.000 -1.680 10.358" Properties=species:S:1:pos:R:3 comment="PtRhN, relaxed, DFT GGA-PBE" sg="R-3m (166)" de_polymorph_ev_per_atom=0.031 crystal_system=trigonal mass_density_g_cm3=13.635 magmom_total_mub_per_cell=0.00 formation_energy_uncorrected_ev_per_atom=0.204 pbc="T T T"
Pt 0.000 0.000 6.321
Pt 0.000 0.000 24.753
Rh 0.000 0.000 12.115
Rh 0.000 0.000 18.959
N 0.000 0.000 0.665
N 0.000 0.000 30.409

(4)
4
Lattice="2.431 0.000 0.000 0.000 2.431 0.000 0.000 0.000 5.855" Properties=species:S:1:pos:R:3 comment="MnCo2H, relaxed, DFT GGA-PBE" sg="P4/mmm (123)" de_polymorph_ev_per_atom=0.215 crystal_system=tetragonal mass_density_g_cm3=8.339 magmom_total_mub_per_cell=0.60 pbc="T T T"
Mn 0.000 0.000 0.000
Co 1.216 1.216 1.753
Co 1.216 1.216 4.102
H 0.000 0.000 2.927

(5)
10
Lattice="0.000 12.488 1.541 6.233 0.000 1.541 6.233 12.488 0.000" Properties=species:S:1:pos:R:3 comment="Al3Tl2, relaxed, DFT GGA-PBE" sg="Fdd2 (43)" de_polymorph_ev_per_atom=0.000 crystal_system=orthorhombic mass_density_g_cm3=6.779 magmom_total_mub_per_cell=0.00 ef_ev_per_atom=0.2795 pbc="T T T"
Al 0.000 0.000 0.000
Al 3.117 6.244 0.771
Al 7.773 10.741 1.543
Al 4.694 14.235 1.543
Al 10.889 20.479 2.313
Al 7.810 16.985 2.313
Tl 8.307 14.258 1.397
Tl 11.423 16.962 2.168
Tl 4.159 10.718 1.397
Tl 7.276 20.502 2.168

(6)
10
Lattice="4.661 0.000 0.000 0.000 4.661 0.000 0.000 0.000 11.452" Properties=species:S:1:pos:R:3 comment="Rb2InGa7, relaxed, DFT GGA-PBE" sg="P-4m2 (115)" crystal_system=tetragonal mass_density_g_cm3=5.164 magmom_total_mub_per_cell=0.00 ef_ev_per_atom=-0.1057 pbc="T T T"
Rb 0.000 2.331 2.794
Rb 2.331 0.000 8.658
In 0.000 0.000 5.726
Ga 0.000 0.000 0.000
Ga 0.000 2.331 7.331
Ga 0.000 2.331 10.007
Ga 2.331 0.000 1.445
Ga 2.331 0.000 4.121
Ga 2.331 2.331 0.000
Ga 2.331 2.331 5.726

(7)
4
Lattice="0.000 3.440 3.440 3.440 0.000 3.440 3.440 3.440 0.000" Properties=species:S:1:pos:R:3 comment="LiEr2Ru, relaxed, DFT GGA-PBE" sg="Fm-3m (225)" de_polymorph_ev_per_atom=0.000 crystal_system=cubic mass_density_g_cm3=9.024 magmom_total_mub_per_cell=0.00 ef_ev_per_atom=-0.3155 pbc="T T T"
Li 0.000 0.000 0.000
Er 1.720 1.720 1.720
Er 5.160 5.160 5.160
Ru 3.440 3.440 3.440